[1]
## MnSn2Mo (PBE)

Data for MnSn2Mo after structural relaxation.

For the calculated formation energy, the calculation gives 0.894 eV per atom.

The structure belongs to space group I-42d (No. 122); the cell edges are 7.340, 7.340 and 5.664 Å and the angles 90.00°, 90.00° and 90.00°. Symmetry generates all atoms from Mn at (0.000, 0.000, 0.000), Sn at (0.226, 0.250, 0.125) and Mo at (0.000, 0.000, 0.500).

***

[2]
## TlInI2Br (PBE)

Data for TlInI2Br after structural relaxation.

As for the formation energy (no corrections): -0.549 eV/atom.

The structure belongs to space group P4/mmm (No. 123); the cell edges are 6.115, 6.115 and 5.624 Å and the angles 90.00°, 90.00° and 90.00°. Symmetry generates all atoms from Tl at (0.000, 0.000, 0.000), In at (0.500, 0.500, 0.500), I at (0.000, 0.500, 0.500) and Br at (0.500, 0.500, 0.000).

***

[3]
## SrPm2ThAs4 (PBE)

Data for SrPm2ThAs4 after structural relaxation.

For the calculated formation energy, the calculation gives -1.409 eV per atom.

The structure belongs to space group P2/m (No. 10); the cell edges are 7.438, 4.300 and 7.443 Å and the angles 90.00°, 109.15° and 90.00°. Symmetry generates all atoms from Sr at (0.000, 0.000, 0.000), Pm at (0.500, 0.000, 0.500), Pm at (0.500, 0.500, 0.000), Th at (0.000, 0.500, 0.500), As at (0.252, 0.000, 0.743) and As at (0.257, 0.500, 0.263).

***

[4]
## Ce2ThGa2Pd2 (PBE)

Data for Ce2ThGa2Pd2 after structural relaxation.

For the calculated formation energy, the calculation gives -0.666 eV per atom.

The structure belongs to space group R-3m (No. 166, hexagonal axes); the cell edges are 4.4437, 4.4437 and 26.8646 Å and the angles 90.00°, 90.00° and 120.00°. Symmetry generates all atoms from Ce at (0.0000, 0.0000, 0.1379), Th at (0.0000, 0.0000, 0.0000), Ga at (0.0000, 0.0000, 0.2587) and Pd at (0.0000, 0.0000, 0.4039).

***

[5]
## Mg14CdB (PBE)

Data for Mg14CdB after structural relaxation.

For the calculated formation energy, the calculation gives 0.162 eV per atom. As for the energy above the most stable polymorph in this dataset: 0.057 eV/atom.

The structure belongs to space group P-6m2 (No. 187); the cell edges are 6.2873, 6.2873 and 9.8852 Å and the angles 90.00°, 90.00° and 120.00°. Symmetry generates all atoms from Mg at (0.0000, 0.0000, 0.2504), Mg at (0.0116, 0.5058, 0.2336), Mg at (0.3252, 0.1626, 0.0000), Mg at (0.3376, 0.1688, 0.5000), Cd at (0.3333, 0.6667, 0.5000) and B at (0.3333, 0.6667, 0.0000).

***

[6]
## NpAlGe2 (PBE)

Data for NpAlGe2 after structural relaxation.

For the calculated formation energy, the calculation gives -0.057 eV per atom. As for the energy above the most stable polymorph in this dataset: 0.174 eV/atom.

The structure belongs to space group P4/mmm (No. 123); the cell edges are 3.516, 3.516 and 6.255 Å and the angles 90.00°, 90.00° and 90.00°. Symmetry generates all atoms from Np at (0.000, 0.000, 0.000), Al at (0.000, 0.000, 0.500) and Ge at (0.500, 0.500, 0.292).

***

[7]
## MoIr2Rh (PBE)

Data for MoIr2Rh after structural relaxation.

For the calculated formation energy, the calculation gives 0.137 eV per atom. As for the energy above the most stable polymorph in this dataset: 0.382 eV/atom.

The structure belongs to space group P2/m (No. 10); the cell edges are 2.722, 4.620 and 4.786 Å and the angles 90.00°, 92.60° and 90.00°. Symmetry generates all atoms from Mo at (0.000, 0.000, 0.000), Ir at (0.287, 0.500, 0.742) and Rh at (0.500, 0.000, 0.500).

***

[8]
## Fe2TcAs (PBE)

Data for Fe2TcAs after structural relaxation.

For the calculated formation energy, the calculation gives 0.039 eV per atom. As for the energy above the most stable polymorph in this dataset: 0.000 eV/atom.

The structure belongs to space group F-43m (No. 216); the cell edges are 5.919, 5.919 and 5.919 Å and the angles 90.00°, 90.00° and 90.00°. Symmetry generates all atoms from Fe at (0.000, 0.000, 0.000), Fe at (0.250, 0.250, 0.250), Tc at (0.000, 0.000, 0.500) and As at (0.250, 0.250, 0.750).

***

[9]
## KTcAu2I8 (PBE)

Data for KTcAu2I8 after structural relaxation.

As for the formation energy (no corrections): -0.257 eV/atom.

The structure belongs to space group P-1 (No. 2); the cell edges are 7.297, 8.000 and 9.550 Å and the angles 92.69°, 111.59° and 99.46°. Symmetry generates all atoms from K at (0.000, 0.000, 0.000), Tc at (0.000, 0.000, 0.500), Au at (0.456, 0.420, 0.790), I at (0.208, 0.329, 0.506), I at (0.214, 0.479, 0.968), I at (0.216, 0.865, 0.359) and I at (0.280, 0.955, 0.771).

***

[10]
## Ba4S3Cl (PBE)

Data for Ba4S3Cl after structural relaxation.

As for the formation energy (no corrections): -2.040 eV/atom. As for the energy above the most stable polymorph in this dataset: 0.000 eV/atom.

The structure belongs to space group Cmmm (No. 65); the cell edges are 9.104, 12.842 and 4.546 Å and the angles 90.00°, 90.00° and 90.00°. Symmetry generates all atoms from Ba at (0.000, 0.245, 0.000), Ba at (0.238, 0.000, 0.500), S at (0.000, 0.000, 0.000), S at (0.250, 0.250, 0.500) and Cl at (0.000, 0.500, 0.000).

***

[11]
## CeSmGaSn (PBE)

Data for CeSmGaSn after structural relaxation.

For the calculated formation energy, the calculation gives -0.518 eV per atom. As for the energy above the most stable polymorph in this dataset: 0.000 eV/atom.

The structure belongs to space group F-43m (No. 216); the cell edges are 7.529, 7.529 and 7.529 Å and the angles 90.00°, 90.00° and 90.00°. Symmetry generates all atoms from Ce at (0.000, 0.000, 0.000), Sm at (0.000, 0.000, 0.500), Ga at (0.250, 0.250, 0.750) and Sn at (0.250, 0.250, 0.250).

***

[12]
## Hf5ZrRh4 (PBE)

Data for Hf5ZrRh4 after structural relaxation.

For the calculated formation energy, the calculation gives -0.714 eV per atom.

The structure belongs to space group P4/mmm (No. 123); the cell edges are 3.304, 3.304 and 16.886 Å and the angles 90.00°, 90.00° and 90.00°. Symmetry generates all atoms from Hf at (0.000, 0.000, 0.000), Hf at (0.000, 0.000, 0.190), Hf at (0.000, 0.000, 0.379), Zr at (0.500, 0.500, 0.500), Rh at (0.500, 0.500, 0.094) and Rh at (0.500, 0.500, 0.281).

***

Final energy values (in eV/atom) by entry order: -6.1076, -2.5245, -6.0595, -5.7699, -1.7075, -6.5361, -8.8388, -7.9460, -2.7917, -4.7803, -4.9385, -9.4866.
Spin magnetization values (in μB per formula unit) by entry order: 1.2, 0.0, 0.0, 0.1, 0.0, 4.5, 0.0, 4.6, 3.0, 0.0, 1.2, 0.0.